Entry one
## RbBa3B (PBE)

Data for crystalline RbBa3B at its relaxed geometry.

POSCAR file:
```
RbBa3B
1.0
6.533 0.000 0.000
0.000 6.533 0.000
0.000 0.000 6.533
B Ba Rb
1 3 1
Direct
0.500 0.500 0.500
0.000 0.500 0.000
0.000 0.000 0.500
0.500 0.000 0.000
0.000 0.000 0.000
```


Entry two
## RbBa3B (PBE)

Data for crystalline RbBa3B at its relaxed geometry.

POSCAR file:
```
RbBa3B
1.0
6.326 0.000 0.000
0.000 6.326 0.000
0.000 0.000 6.326
B Ba Rb
1 3 1
Direct
0.000 0.000 0.000
0.000 0.500 0.000
0.000 0.000 0.500
0.500 0.000 0.000
0.500 0.500 0.500
```


Which of them is the most stable, and which is the least stable? entry two and entry one, in that order.


Entry one
## RbBaB3 (PBE)

Data for crystalline RbBaB3 at its relaxed geometry.

POSCAR file:
```
RbBaB3
1.0
5.383 0.000 0.000
0.000 5.383 0.000
0.000 0.000 5.383
B Ba Rb
3 1 1
Direct
0.000 0.500 0.000
0.000 0.000 0.500
0.500 0.000 0.000
0.000 0.000 0.000
0.500 0.500 0.500
```


Entry two
## RbBaB3 (PBE)

Data for crystalline RbBaB3 at its relaxed geometry.

POSCAR file:
```
RbBaB3
1.0
5.132 0.000 0.000
0.000 5.132 0.000
0.000 0.000 5.132
B Ba Rb
3 1 1
Direct
0.000 0.500 0.000
0.000 0.000 0.500
0.500 0.000 0.000
0.500 0.500 0.500
0.000 0.000 0.000
```


Which of them is the most stable, and which is the least stable? entry one and entry two, in that order.


Entry one
## BaReB3 (PBE)

Data for crystalline BaReB3 at its relaxed geometry.

POSCAR file:
```
BaReB3
1.0
4.408 0.000 0.000
0.000 4.408 0.000
0.000 0.000 4.408
Re B Ba
1 3 1
Direct
0.500 0.500 0.500
0.000 0.500 0.000
0.000 0.000 0.500
0.500 0.000 0.000
0.000 0.000 0.000
```


Entry two
## BaReB3 (PBE)

Data for crystalline BaReB3 at its relaxed geometry.

POSCAR file:
```
BaReB3
1.0
4.319 0.000 0.000
0.000 4.319 0.000
0.000 0.000 4.319
Re B Ba
1 3 1
Direct
0.000 0.000 0.000
0.000 0.500 0.000
0.000 0.000 0.500
0.500 0.000 0.000
0.500 0.500 0.500
```


Which of them is the most stable, and which is the least stable? entry two and entry one, in that order.


Entry one
## BaRe3B (PBE)

Data for crystalline BaRe3B at its relaxed geometry.

POSCAR file:
```
BaRe3B
1.0
4.411 0.000 0.000
0.000 4.411 0.000
0.000 0.000 4.411
Re B Ba
3 1 1
Direct
0.000 0.500 0.000
0.000 0.000 0.500
0.500 0.000 0.000
0.000 0.000 0.000
0.500 0.500 0.500
```


Entry two
## BaRe3B (PBE)

Data for crystalline BaRe3B at its relaxed geometry.

POSCAR file:
```
BaRe3B
1.0
5.067 0.000 0.000
0.000 5.067 0.000
0.000 0.000 5.067
Re B Ba
3 1 1
Direct
0.000 0.500 0.000
0.000 0.000 0.500
0.500 0.000 0.000
0.500 0.500 0.500
0.000 0.000 0.000
```


Which of them is the most stable, and which is the least stable? entry one and entry two, in that order.


Entry one
## BaBRh3 (PBE)

Data for crystalline BaBRh3 at its relaxed geometry.

POSCAR file:
```
BaBRh3
1.0
-4.152 -1.181 0.688
1.108 -4.196 -0.517
0.800 -0.317 4.285
B Rh Ba
1 3 1
Direct
0.000 0.000 0.000
0.000 0.500 0.000
0.000 0.000 0.500
0.500 0.000 0.000
0.500 0.500 0.500
```


Entry two
## BaBRh3 (PBE)

Data for crystalline BaBRh3 at its relaxed geometry.

POSCAR file:
```
BaBRh3
1.0
-0.183 -4.207 -4.684
5.197 3.429 0.952
3.552 -7.120 6.258
Ba B Rh
4 4 12
Direct
0.333 0.667 0.250
0.667 0.333 0.750
0.000 0.000 0.500
0.000 0.000 0.000
0.667 0.333 0.116
0.333 0.667 0.616
0.333 0.667 0.884
0.667 0.333 0.384
0.185 0.369 0.750
0.369 0.185 0.250
0.815 0.185 0.250
0.185 0.815 0.750
0.631 0.815 0.750
0.815 0.631 0.250
0.500 0.500 0.500
0.500 0.000 0.000
0.500 0.500 0.000
0.500 0.000 0.500
0.000 0.500 0.500
0.000 0.500 0.000
```


Entry three
## BaBRh3 (PBE)

Data for crystalline BaBRh3 at its relaxed geometry.

POSCAR file:
```
BaBRh3
1.0
5.095 0.000 0.000
0.000 5.095 0.000
0.000 0.000 5.095
B Rh Ba
1 3 1
Direct
0.500 0.500 0.500
0.000 0.500 0.000
0.000 0.000 0.500
0.500 0.000 0.000
0.000 0.000 0.000
```


Which of them is the most stable, and which is the least stable? entry two and entry three, in that order.


Entry one
## BaB2Ru (PBE)

Data for crystalline BaB2Ru at its relaxed geometry.

POSCAR file:
```
BaB2Ru
1.0
4.026 -2.039 -0.372
1.129 -3.321 2.863
0.245 -4.274 -1.474
Ru B Ba
1 2 1
Direct
0.000 0.000 0.000
0.250 0.250 0.250
0.750 0.750 0.750
0.500 0.500 0.500
```


Entry two
## BaB2Ru (PBE)

Data for crystalline BaB2Ru at its relaxed geometry.

POSCAR file:
```
BaB2Ru
1.0
5.240 0.000 0.000
0.000 5.240 0.000
2.620 2.620 5.994
Ru B Ba
2 4 2
Direct
0.500 0.500 0.000
0.250 0.750 0.500
0.375 0.125 0.250
0.375 0.625 0.250
0.375 0.625 0.750
0.875 0.625 0.750
0.000 0.000 0.000
0.750 0.250 0.500
```


Which of them is the most stable, and which is the least stable? entry two and entry one, in that order.


Entry one
## BaBRu3 (PBE)

Data for crystalline BaBRu3 at its relaxed geometry.

POSCAR file:
```
BaBRu3
1.0
4.358 0.000 0.000
0.000 4.358 0.000
0.000 0.000 4.358
Ru B Ba
3 1 1
Direct
0.000 0.500 0.000
0.000 0.000 0.500
0.500 0.000 0.000
0.000 0.000 0.000
0.500 0.500 0.500
```


Entry two
## BaBRu3 (PBE)

Data for crystalline BaBRu3 at its relaxed geometry.

POSCAR file:
```
BaBRu3
1.0
5.080 0.000 0.000
0.000 5.080 0.000
0.000 0.000 5.080
Ru B Ba
3 1 1
Direct
0.000 0.500 0.000
0.000 0.000 0.500
0.500 0.000 0.000
0.500 0.500 0.500
0.000 0.000 0.000
```


Which of them is the most stable, and which is the least stable? entry one and entry two, in that order.


Entry one
## Ba2BS (PBE)

Data for crystalline Ba2BS at its relaxed geometry.

POSCAR file:
```
Ba2BS
1.0
7.909 0.000 0.000
0.000 7.909 0.000
3.955 3.955 4.735
S B Ba
2 2 4
Direct
0.000 0.000 0.000
0.750 0.250 0.500
0.500 0.500 0.000
0.250 0.750 0.500
0.619 0.125 0.250
0.131 0.625 0.250
0.375 0.381 0.750
0.875 0.869 0.750
```


Entry two
## Ba2BS (PBE)

Data for crystalline Ba2BS at its relaxed geometry.

POSCAR file:
```
Ba2BS
1.0
-5.090 -0.433 1.888
-4.142 2.123 -2.826
-3.559 -3.281 -2.495
S B Ba
1 1 2
Direct
0.500 0.500 0.500
0.000 0.000 0.000
0.250 0.250 0.250
0.750 0.750 0.750
```


Which of them is the most stable, and which is the least stable? entry two and entry one, in that order.


Entry one
## BaBSb2Te (PBE)

Data for crystalline BaBSb2Te at its relaxed geometry.

POSCAR file:
```
BaBSb2Te
1.0
-5.972 1.114 -1.843
-0.309 -5.819 -2.519
-2.146 -2.295 5.564
Sb B Te Ba
2 1 1 1
Direct
0.000 0.500 0.000
0.500 0.000 0.000
0.500 0.500 0.500
0.000 0.000 0.500
0.000 0.000 0.000
```


Entry two
## BaBSb2Te (PBE)

Data for crystalline BaBSb2Te at its relaxed geometry.

POSCAR file:
```
BaBSb2Te
1.0
-0.969 0.911 4.885
0.906 -4.861 1.087
5.132 1.137 0.806
Sb B Te Ba
2 1 1 1
Direct
0.000 0.500 0.000
0.500 0.000 0.000
0.000 0.000 0.000
0.000 0.000 0.500
0.500 0.500 0.500
```


Which of them is the most stable, and which is the least stable? entry two and entry one, in that order.


Entry one
## BaSc3B (PBE)

Data for crystalline BaSc3B at its relaxed geometry.

POSCAR file:
```
BaSc3B
1.0
-2.130 2.557 -3.691
-1.035 -4.255 -2.350
-4.369 -0.239 2.356
Sc B Ba
3 1 1
Direct
0.000 0.500 0.000
0.000 0.000 0.500
0.500 0.000 0.000
0.000 0.000 0.000
0.500 0.500 0.500
```


Entry two
## BaSc3B (PBE)

Data for crystalline BaSc3B at its relaxed geometry.

POSCAR file:
```
BaSc3B
1.0
-0.599 0.597 5.192
4.637 -2.350 0.805
2.411 4.668 -0.258
Sc B Ba
3 1 1
Direct
0.000 0.500 0.000
0.000 0.000 0.500
0.500 0.000 0.000
0.500 0.500 0.500
0.000 0.000 0.000
```


Which of them is the most stable, and which is the least stable? entry one and entry two, in that order.


Entry one
## BaScB3 (PBE)

Data for crystalline BaScB3 at its relaxed geometry.

POSCAR file:
```
BaScB3
1.0
-4.608 0.759 0.184
-0.342 -0.972 -4.559
-0.702 -4.508 1.014
Sc B Ba
1 3 1
Direct
0.000 0.000 0.000
0.000 0.500 0.000
0.000 0.000 0.500
0.500 0.000 0.000
0.500 0.500 0.500
```


Entry two
## BaScB3 (PBE)

Data for crystalline BaScB3 at its relaxed geometry.

POSCAR file:
```
BaScB3
1.0
4.710 0.000 0.000
0.000 4.710 0.000
0.000 0.000 4.710
Sc B Ba
1 3 1
Direct
0.500 0.500 0.500
0.000 0.500 0.000
0.000 0.000 0.500
0.500 0.000 0.000
0.000 0.000 0.000
```


Which of them is the most stable, and which is the least stable? entry one and entry two, in that order.


Entry one
## BaScTiB2 (PBE)

Data for crystalline BaScTiB2 at its relaxed geometry.

POSCAR file:
```
BaScTiB2
1.0
-0.913 4.096 1.990
-0.913 -2.178 4.064
4.464 0.403 1.219
Sc B Ba Ti
1 2 1 1
Direct
0.000 0.500 0.000
0.000 0.000 0.500
0.500 0.000 0.000
0.500 0.500 0.500
0.000 0.000 0.000
```


Entry two
## BaScTiB2 (PBE)

Data for crystalline BaScTiB2 at its relaxed geometry.

POSCAR file:
```
BaScTiB2
1.0
-1.003 -2.519 3.496
4.938 -0.001 1.415
-0.693 3.637 2.421
Sc B Ba Ti
1 2 1 1
Direct
0.500 0.500 0.500
0.000 0.000 0.500
0.500 0.000 0.000
0.000 0.500 0.000
0.000 0.000 0.000
```


Which of them is the most stable, and which is the least stable? entry one and entry two, in that order.